1.
Computed, not measured: a geometry-optimized Hf2VF structure at the PBE+U level of DFT.

Results
Density of states at the Fermi level in states/eV per cell: 6.3
Theoretical density in Mg/m³: 9.73

Cell lengths 6.905, 6.905, 5.760 Å; angles 53.17, 53.17, 90.00 degrees
Fractional positions:
Hf1 0.547 0.125 0.250
Hf2 0.375 0.453 0.750
Hf3 0.875 0.797 0.750
Hf4 0.203 0.625 0.250
V1 0.000 0.000 0.000
V2 0.750 0.250 0.500
F1 0.500 0.500 0.000
F2 0.250 0.750 0.500

***

2.
Computed, not measured: a geometry-optimized Hf2VF structure at the PBE+U level of DFT.

Results
Density of states at the Fermi level in states/eV per cell: 4.3
Theoretical density in Mg/m³: 9.61

Cell lengths 4.708, 4.708, 4.708 Å; angles 60.00, 60.00, 60.00 degrees
Fractional positions:
Hf1 0.750 0.750 0.750
Hf2 0.250 0.250 0.250
F1 0.000 0.000 0.000
V1 0.500 0.500 0.500

***

Most stable = 1

***

1.
Computed, not measured: a geometry-optimized Hf2WF structure at the PBE+U level of DFT.

Results
Density of states at the Fermi level in states/eV per cell: 4.4
Theoretical density in Mg/m³: 12.80

Cell lengths 4.684, 4.684, 4.684 Å; angles 60.00, 60.00, 60.00 degrees
Fractional positions:
Hf1 0.750 0.750 0.750
Hf2 0.250 0.250 0.250
W1 0.500 0.500 0.500
F1 0.000 0.000 0.000

***

2.
Computed, not measured: a geometry-optimized Hf2WF structure at the PBE+U level of DFT.

Results
Density of states at the Fermi level in states/eV per cell: 6.1
Theoretical density in Mg/m³: 12.59

Cell lengths 6.863, 6.863, 5.777 Å; angles 53.56, 53.56, 90.00 degrees
Fractional positions:
W1 0.000 0.000 0.000
W2 0.750 0.250 0.500
Hf1 0.375 0.452 0.750
Hf2 0.875 0.798 0.750
Hf3 0.202 0.625 0.250
Hf4 0.548 0.125 0.250
F1 0.500 0.500 0.000
F2 0.250 0.750 0.500

***

Most stable = 2